Material: YZr2TiCd
Method: DFT, PBE
State: optimized geometry

Structure (extended XYZ):
```
5
Lattice="-3.791 -3.156 -0.823 -0.185 -1.137 5.212 -3.257 3.730 0.698" Properties=species:S:1:pos:R:3 pbc="T T T"
Y -0.093 -0.569 2.606
Ti 0.000 0.000 0.000
Zr -1.629 1.865 0.349
Zr -1.895 -1.578 -0.412
Cd -3.617 -0.282 2.543
```

E_tot (eV/cell): -29.2
Size of the total moment (μB per cell): 0.00
Formation energy from the elements (eV per atom): 0.64